[1]
Below is a geometry-optimized TaNbSiMoH structure, with properties calculated at the PBE level.

The space group is Cm (No. 8) and the conventional cell measures 10.8940, 3.3547 and 4.1028 Å, with angles of 90.00, 111.83 and 90.00 degrees. The asymmetric unit holds Ta at (0.0000, 0.0000, 0.0000), Nb at (0.2466, 0.0000, 0.7512), Si at (0.3146, 0.5000, 0.3172), Mo at (0.0097, 0.5000, 0.5088) and H at (0.1925, 0.0000, 0.1778).

The calculation puts the density of states at the Fermi level at 3.4 states/eV/cell. The excess energy over the best structure of this formula in the dataset comes out at 121 meV/atom.

***

[2]
Below is a geometry-optimized TaNbSiMoH structure, with properties calculated at the PBE level.

The space group is P1 (No. 1) and the conventional cell measures 3.3513, 5.0434 and 5.0486 Å, with angles of 104.72, 109.12 and 108.68 degrees. The asymmetric unit holds Ta at (0.0000, 0.0000, 0.0000), Nb at (0.0083, 0.4499, 0.5621), Si at (0.3262, 0.0483, 0.5978), Mo at (0.4765, 0.6917, 0.2424) and H at (0.8642, 0.3650, 0.1293).

The calculation puts the density of states at the Fermi level at 3.6 states/eV/cell. The excess energy over the best structure of this formula in the dataset comes out at 21 meV/atom.

***

[3]
Below is a geometry-optimized TaNbSiMoH structure, with properties calculated at the PBE level.

The space group is P1 (No. 1) and the conventional cell measures 3.2787, 5.0050 and 5.0277 Å, with angles of 113.78, 103.11 and 102.47 degrees. The asymmetric unit holds Ta at (0.0000, 0.0000, 0.0000), Nb at (0.5834, 0.1788, 0.5891), Si at (0.2252, 0.5924, 0.5639), Mo at (0.5471, 0.5542, 0.1326) and H at (0.9392, 0.9715, 0.3630).

The calculation puts the density of states at the Fermi level at 2.2 states/eV/cell. The excess energy over the best structure of this formula in the dataset comes out at 30 meV/atom.

***

[4]
Below is a geometry-optimized TaNbSiMoH structure, with properties calculated at the PBE level.

The space group is Amm2 (No. 38) and the conventional cell measures 4.2427, 3.2577 and 9.9901 Å, with angles of 90.00, 90.00 and 90.00 degrees. The asymmetric unit holds Ta at (0.0000, 0.0000, 0.0000), Nb at (0.5000, 0.0000, 0.7088), Si at (0.0000, 0.0000, 0.2738), Mo at (0.5000, 0.0000, 0.4375) and H at (0.5000, 0.0000, 0.0459).

The calculation puts the density of states at the Fermi level at 5.3 states/eV/cell. The excess energy over the best structure of this formula in the dataset comes out at 10 meV/atom.

***

[5]
Below is a geometry-optimized TaNbSiMoH structure, with properties calculated at the PBE level.

The space group is Pmm2 (No. 25) and the conventional cell measures 3.2870, 3.3269 and 6.2715 Å, with angles of 90.00, 90.00 and 90.00 degrees. The asymmetric unit holds Ta at (0.0000, 0.0000, 0.0000), Nb at (0.5000, 0.5000, 0.3248), Si at (0.0000, 0.0000, 0.5560), Mo at (0.5000, 0.5000, 0.7672) and H at (0.0000, 0.5000, 0.1671).

The calculation puts the density of states at the Fermi level at 3.3 states/eV/cell. The excess energy over the best structure of this formula in the dataset comes out at 18 meV/atom.

***

[6]
Below is a geometry-optimized TaNbSiMoH structure, with properties calculated at the PBE level.

The space group is Cm (No. 8) and the conventional cell measures 9.3560, 3.2597 and 4.7295 Å, with angles of 90.00, 106.74 and 90.00 degrees. The asymmetric unit holds Ta at (0.0000, 0.0000, 0.0000), Nb at (0.2478, 0.0000, 0.7208), Si at (0.0059, 0.5000, 0.5017), Mo at (0.2784, 0.5000, 0.2923) and H at (0.2095, 0.0000, 0.0983).

The calculation puts the density of states at the Fermi level at 5.0 states/eV/cell. The excess energy over the best structure of this formula in the dataset comes out at 53 meV/atom.

***

[7]
Below is a geometry-optimized TaNbSiMoH structure, with properties calculated at the PBE level.

The space group is P1 (No. 1) and the conventional cell measures 3.0038, 4.8989 and 5.0014 Å, with angles of 74.85, 89.65 and 80.32 degrees. The asymmetric unit holds Ta at (0.0000, 0.0000, 0.0000), Nb at (0.7252, 0.7020, 0.5626), Si at (0.0598, 0.1832, 0.4680), Mo at (0.4628, 0.4820, 0.0917) and H at (0.4321, 0.2797, 0.8273).

The calculation puts the density of states at the Fermi level at 3.2 states/eV/cell. The excess energy over the best structure of this formula in the dataset comes out at 69 meV/atom.

***

[8]
Below is a geometry-optimized TaNbSiMoH structure, with properties calculated at the PBE level.

The space group is Cm (No. 8) and the conventional cell measures 9.5860, 3.3927 and 5.1701 Å, with angles of 90.00, 122.17 and 90.00 degrees. The asymmetric unit holds Ta at (0.0000, 0.0000, 0.0000), Nb at (0.0638, 0.5000, 0.5455), Si at (0.2832, 0.0000, 0.5933), Mo at (0.3011, 0.5000, 0.2532) and H at (0.0875, 0.5000, 0.9400).

The calculation puts the density of states at the Fermi level at 6.7 states/eV/cell. The excess energy over the best structure of this formula in the dataset comes out at 54 meV/atom.

***

| no. | density (Mg/m³) |
| --- | --- |
| 1 | 9.5 |
| 2 | 9.5 |
| 3 | 9.6 |
| 4 | 9.6 |
| 5 | 9.7 |
| 6 | 9.6 |
| 7 | 9.5 |
| 8 | 9.3 |